# LaV2FeSe

LaV2FeSe after structural relaxation (GGA-PBE, Alexandria via LeMat-Bulk).

Cell lengths 4.711, 4.711, 4.455 Å; angles 90.00, 90.00, 90.00 degrees
Element x y z (fractional)
La (0.000, 0.000, 0.000)
V (0.000, 0.500, 0.500)
V (0.500, 0.000, 0.500)
Fe (0.500, 0.500, 0.000)
Se (0.500, 0.500, 0.500)

Values from the calculation:
The value obtained for the total DFT energy (no corrections) is -6.64 eV per atom. The calculation puts the total magnetization at 4.59 μB per cell. Its energy above the most stable polymorph in this dataset is 0.000 eV/atom. As for the space-group type: P4/mmm (123).